# PrErGaSn

A relaxed structure of PrErGaSn (GGA-PBE, Alexandria).

Crystal system: orthorhombic
Energy relative to the lowest polymorph listed for this composition (eV/f.u.): 0.000
Electronic total energy (eV per formula unit): -19.1
M_tot (μB per cell): 0.0

Cell and atoms, written as CIF:
```
data_PrErGaSn
_cell_length_a 4.544
_cell_length_b 4.209
_cell_length_c 6.120
_cell_angle_alpha 90.00
_cell_angle_beta 111.79
_cell_angle_gamma 90.00
_symmetry_space_group_name_H-M 'P 1'
_symmetry_Int_Tables_number 1
_symmetry_space_group_name_Hall 'P 1'
loop_
_atom_site_label
_atom_site_type_symbol
_atom_site_fract_x
_atom_site_fract_y
_atom_site_fract_z
Pr1 Pr 0.137 0.000 0.275
Sn1 Sn 0.420 0.000 0.839
Er1 Er 0.859 0.500 0.719
Ga1 Ga 0.584 0.500 0.167
```